# PBE CsRhPb, optimized geometry
# - Energy relative to the elements: -78 meV/atom
# - Final energy: -24.29 eV per cell
# - Crystal system: tetragonal
data_CsRhPb
_cell_length_a 4.700
_cell_length_b 4.700
_cell_length_c 9.256
_cell_angle_alpha 90.00
_cell_angle_beta 90.00
_cell_angle_gamma 90.00
_space_group_name_H-M_alt 'P 4/n m m'
_space_group_IT_number 129
loop_
_space_group_symop_operation_xyz
'x,y,z'
'-x,-y,-z'
'-y+1/2,x,z'
'y+1/2,-x,-z'
'-x+1/2,-y+1/2,z'
'x+1/2,y+1/2,-z'
'y,-x+1/2,z'
'-y,x+1/2,-z'
'x+1/2,-y,-z'
'-x+1/2,y,z'
'-y,-x,-z'
'y,x,z'
'-x,y+1/2,-z'
'x,-y+1/2,z'
'y+1/2,x+1/2,-z'
'-y+1/2,-x+1/2,z'
loop_
_atom_site_label
_atom_site_type_symbol
_atom_site_fract_x
_atom_site_fract_y
_atom_site_fract_z
_atom_site_occupancy
Cs1 Cs 0.250 0.250 0.167 1
Rh1 Rh 0.250 0.750 0.500 1
Pb1 Pb 0.250 0.250 0.650 1